Entry 1:
# Pu8Ir2Ru3

A relaxed Pu8Ir2Ru3 crystal (PBE-GGA, the Alexandria database).

Cell and atoms, written as POSCAR:
```
Pu8Ir2Ru3
1.0
-2.103 -3.955 -1.891
5.655 -5.530 1.700
-3.508 -4.126 5.141
Ru Pu Ir
3 8 2
Direct
0.041 0.192 0.746 Ru
0.500 0.000 0.000 Ru
0.959 0.808 0.254 Ru
0.210 0.517 0.629 Pu
0.674 0.094 0.590 Pu
0.790 0.483 0.371 Pu
0.416 0.384 0.899 Pu
0.326 0.906 0.410 Pu
0.914 0.163 0.135 Pu
0.584 0.616 0.101 Pu
0.086 0.837 0.865 Pu
0.688 0.717 0.674 Ir
0.312 0.283 0.326 Ir
```

Output
Energy of formation   -0.1545 eV per atom
Calculated density   16.576 Mg/m³

***

Entry 2:
# ZrCd2Re

A relaxed ZrCd2Re crystal (PBE-GGA, the Alexandria database).

Cell and atoms, written as POSCAR:
```
ZrCd2Re
1.0
3.889 0.000 0.000
0.000 4.173 0.000
0.000 0.000 4.706
Re Cd Zr
1 2 1
Direct
0.500 0.000 0.500 Re
0.000 0.000 0.000 Cd
0.500 0.500 0.000 Cd
0.000 0.500 0.500 Zr
```

Output
Polymorph energy (0 for the lowest one)   46 meV/atom
Energy of formation   0.2058 eV per atom
Calculated density   10.920 Mg/m³

***

Entry 3:
# Ho8Er6Pb

A relaxed Ho8Er6Pb crystal (PBE-GGA, the Alexandria database).

Cell and atoms, written as POSCAR:
```
Ho8Er6Pb
1.0
-5.942 0.654 3.028
-3.178 4.542 -7.218
-0.799 -9.057 0.390
Ho Er Pb
8 6 1
Direct
0.110 0.668 0.982 Ho
0.110 0.018 0.686 Ho
0.804 0.333 0.667 Ho
0.196 0.667 0.333 Ho
0.890 0.332 0.018 Ho
0.890 0.982 0.314 Ho
0.890 0.686 0.668 Ho
0.110 0.314 0.332 Ho
0.604 0.397 0.319 Er
0.396 0.319 0.922 Er
0.604 0.681 0.078 Er
0.604 0.922 0.603 Er
0.396 0.078 0.397 Er
0.396 0.603 0.681 Er
0.500 0.000 0.000 Pb
```

Output
Energy of formation   0.1869 eV per atom
Calculated density   8.741 Mg/m³

***

Entry 4:
# ScB2Ir3

A relaxed ScB2Ir3 crystal (PBE-GGA, the Alexandria database).

Cell and atoms, written as POSCAR:
```
ScB2Ir3
1.0
4.583 0.482 0.467
-1.777 6.635 -2.185
0.927 0.190 7.978
Ir B Sc
9 6 3
Direct
0.621 0.324 0.960 Ir
0.071 0.095 0.376 Ir
0.379 0.676 0.040 Ir
0.929 0.905 0.624 Ir
0.209 0.423 0.264 Ir
0.500 0.000 0.500 Ir
0.640 0.235 0.278 Ir
0.360 0.765 0.722 Ir
0.791 0.577 0.736 Ir
0.884 0.375 0.488 B
0.116 0.625 0.512 B
0.449 0.941 0.217 B
0.946 0.592 0.962 B
0.054 0.408 0.038 B
0.551 0.059 0.783 B
0.751 0.672 0.302 Sc
0.000 0.000 0.000 Sc
0.249 0.328 0.698 Sc
```

Output
Energy of formation   -0.4436 eV per atom
Calculated density   12.954 Mg/m³

***

Entry 5:
# Nd2ScZnS5

A relaxed Nd2ScZnS5 crystal (PBE-GGA, the Alexandria database).

Cell and atoms, written as POSCAR:
```
Nd2ScZnS5
1.0
3.835 0.000 0.000
-1.918 8.394 0.000
0.000 0.000 11.733
S Zn Nd Sc
10 2 4 2
Direct
0.049 0.098 0.060 S
0.951 0.902 0.560 S
0.712 0.424 0.165 S
0.504 0.008 0.276 S
0.311 0.623 0.360 S
0.355 0.709 0.002 S
0.496 0.992 0.776 S
0.645 0.291 0.502 S
0.288 0.576 0.665 S
0.689 0.377 0.860 S
0.448 0.896 0.452 Zn
0.552 0.104 0.952 Zn
0.133 0.267 0.309 Nd
0.116 0.232 0.685 Nd
0.867 0.733 0.809 Nd
0.884 0.768 0.185 Nd
0.202 0.404 0.014 Sc
0.798 0.596 0.514 Sc
```

Output
Energy relative to the elements, uncorrected   -1724 meV per atom
Calculated density   4.916 Mg/m³

***

Entry 6:
# TlCuAgI2

A relaxed TlCuAgI2 crystal (PBE-GGA, the Alexandria database).

Cell and atoms, written as POSCAR:
```
TlCuAgI2
1.0
-0.785 -2.979 5.000
3.282 -3.397 -1.509
4.331 3.070 2.510
Tl I Cu Ag
1 2 1 1
Direct
0.500 0.500 0.500 Tl
0.000 0.000 0.500 I
0.500 0.000 0.000 I
0.000 0.500 0.000 Cu
0.000 0.000 0.000 Ag
```

Output
Energy relative to the elements, uncorrected   134 meV per atom
Calculated density   6.113 Mg/m³

***

Entry 7:
# Tm2BeSe

A relaxed Tm2BeSe crystal (PBE-GGA, the Alexandria database).

Cell and atoms, written as POSCAR:
```
Tm2BeSe
1.0
3.688 0.000 0.000
1.844 3.194 0.000
1.844 1.065 9.241
Se Tm Be
1 2 1
Direct
0.500 0.500 0.500 Se
0.898 0.898 0.305 Tm
0.102 0.102 0.695 Tm
0.000 0.000 0.000 Be
```

Output
Energy relative to the elements, uncorrected   1 meV per atom
Calculated density   6.495 Mg/m³

***

Entry 8:
# CeTl2I8

A relaxed CeTl2I8 crystal (PBE-GGA, the Alexandria database).

Cell and atoms, written as POSCAR:
```
CeTl2I8
1.0
-6.113 -4.534 0.959
1.081 -2.117 -8.773
5.583 -6.808 -2.257
Ce I Tl
1 8 2
Direct
0.000 0.000 0.000 Ce
0.236 0.695 0.168 I
0.719 0.372 0.372 I
0.764 0.832 0.305 I
0.215 0.175 0.175 I
0.281 0.628 0.628 I
0.236 0.168 0.695 I
0.764 0.305 0.832 I
0.785 0.825 0.825 I
0.627 0.188 0.188 Tl
0.373 0.812 0.812 Tl
```

Output
Polymorph energy (0 for the lowest one)   82 meV/atom
Energy relative to the elements, uncorrected   -637 meV per atom
Calculated density   4.713 Mg/m³

***

Entry 9:
# MnPHCS

A relaxed MnPHCS crystal (PBE-GGA, the Alexandria database).

Cell and atoms, written as POSCAR:
```
MnPHCS
1.0
-0.772 0.962 -7.101
2.199 -1.866 -0.492
-3.780 -5.164 2.696
C P Mn S H
2 2 2 2 2
Direct
0.883 0.500 0.352 C
0.883 0.000 0.852 C
0.772 0.000 0.395 P
0.772 0.500 0.895 P
0.592 0.500 0.086 Mn
0.592 0.000 0.586 Mn
0.410 0.000 0.836 S
0.410 0.500 0.336 S
0.024 0.000 0.829 H
0.024 0.500 0.329 H
```

Output
Polymorph energy (0 for the lowest one)   0 meV/atom
Calculated density   3.280 Mg/m³

***

Entry 10:
# LaBi3Mo

A relaxed LaBi3Mo crystal (PBE-GGA, the Alexandria database).

Cell and atoms, written as POSCAR:
```
LaBi3Mo
1.0
-4.513 -2.940 -0.844
2.984 -4.562 -0.068
-0.670 -0.519 5.385
Bi La Mo
3 1 1
Direct
0.500 0.000 0.000 Bi
0.000 0.500 0.000 Bi
0.000 0.000 0.500 Bi
0.500 0.500 0.500 La
0.000 0.000 0.000 Mo
```

Output
Polymorph energy (0 for the lowest one)   0 meV/atom
Energy of formation   0.2466 eV per atom
Calculated density   8.833 Mg/m³

***

Entry 11:
# Ba2ZrI2N2

A relaxed Ba2ZrI2N2 crystal (PBE-GGA, the Alexandria database).

Cell and atoms, written as POSCAR:
```
Ba2ZrI2N2
1.0
4.514 0.000 0.000
0.000 4.514 0.000
-2.257 -2.257 9.954
Ba I N Zr
2 2 2 1
Direct
0.412 0.412 0.824 Ba
0.588 0.588 0.176 Ba
0.163 0.163 0.326 I
0.837 0.837 0.674 I
0.500 0.000 0.000 N
0.000 0.500 0.000 N
0.000 0.000 0.000 Zr
```

Output
Energy relative to the elements, uncorrected   -1286 meV per atom
Calculated density   5.303 Mg/m³

***

Entry 12:
# CsLaRe2

A relaxed CsLaRe2 crystal (PBE-GGA, the Alexandria database).

Cell and atoms, written as POSCAR:
```
CsLaRe2
1.0
0.000 3.680 3.680
3.680 0.000 3.680
3.680 3.680 0.000
Re Cs La
2 1 1
Direct
0.750 0.750 0.750 Re
0.250 0.250 0.250 Re
0.000 0.000 0.000 Cs
0.500 0.500 0.500 La
```

Output
Energy of formation   2.0913 eV per atom
Calculated density   10.737 Mg/m³

***

Entry 13:
# PuAl7Au3

A relaxed PuAl7Au3 crystal (PBE-GGA, the Alexandria database).

Cell and atoms, written as POSCAR:
```
PuAl7Au3
1.0
-2.828 6.130 -4.534
-5.905 4.796 2.874
1.938 7.942 2.235
Al Au Pu
14 6 2
Direct
0.669 0.071 0.408 Al
0.250 0.250 0.250 Al
0.148 0.331 0.592 Al
0.831 0.648 0.092 Al
0.071 0.852 0.408 Al
0.929 0.148 0.592 Al
0.169 0.352 0.908 Al
0.571 0.169 0.908 Al
0.852 0.669 0.408 Al
0.331 0.929 0.592 Al
0.648 0.429 0.092 Al
0.750 0.750 0.750 Al
0.352 0.571 0.908 Al
0.429 0.831 0.092 Al
0.070 0.750 0.750 Au
0.430 0.070 0.750 Au
0.250 0.570 0.250 Au
0.930 0.250 0.250 Au
0.570 0.930 0.250 Au
0.750 0.430 0.750 Au
0.000 0.000 0.000 Pu
0.500 0.500 0.500 Pu
```

Output
Energy of formation   -0.4142 eV per atom
Calculated density   8.414 Mg/m³

***

Entry 14:
# TbTh4Ni4

A relaxed TbTh4Ni4 crystal (PBE-GGA, the Alexandria database).

Cell and atoms, written as POSCAR:
```
TbTh4Ni4
1.0
-2.080 1.916 5.075
-1.853 -8.067 2.287
7.801 -0.800 3.499
Th Ni Tb
8 8 2
Direct
0.091 0.803 0.417 Th
0.909 0.417 0.197 Th
0.091 0.197 0.583 Th
0.591 0.917 0.697 Th
0.409 0.303 0.917 Th
0.591 0.083 0.303 Th
0.409 0.697 0.083 Th
0.909 0.583 0.803 Th
0.887 0.720 0.126 Ni
0.387 0.626 0.780 Ni
0.113 0.874 0.720 Ni
0.113 0.126 0.280 Ni
0.613 0.220 0.626 Ni
0.613 0.780 0.374 Ni
0.387 0.374 0.220 Ni
0.887 0.280 0.874 Ni
0.000 0.000 0.000 Tb
0.500 0.500 0.500 Tb
```

Output
Energy of formation   -0.2684 eV per atom
Calculated density   10.248 Mg/m³

***

Entry 15:
# V2Fe2Co

A relaxed V2Fe2Co crystal (PBE-GGA, the Alexandria database).

Cell and atoms, written as POSCAR:
```
V2Fe2Co
1.0
6.578 0.000 0.000
0.000 6.578 0.000
0.000 0.000 2.762
V Fe Co
4 4 2
Direct
0.333 0.167 0.500 V
0.167 0.667 0.500 V
0.833 0.333 0.500 V
0.667 0.833 0.500 V
0.636 0.136 0.000 Fe
0.136 0.364 0.000 Fe
0.364 0.864 0.000 Fe
0.864 0.636 0.000 Fe
0.500 0.500 0.000 Co
0.000 0.000 0.000 Co
```

Output
Polymorph energy (0 for the lowest one)   171 meV/atom
Energy of formation   0.0825 eV per atom
Calculated density   7.574 Mg/m³

***

Entry 16:
# MnIrBr2

A relaxed MnIrBr2 crystal (PBE-GGA, the Alexandria database).

Cell and atoms, written as POSCAR:
```
MnIrBr2
1.0
-4.563 0.523 4.344
-1.194 -3.484 5.138
4.431 3.071 -3.301
Br Mn Ir
2 1 1
Direct
0.000 0.000 0.000 Br
0.250 0.750 0.500 Br
0.750 0.250 0.500 Mn
0.500 0.500 0.000 Ir
```

Output
Polymorph energy (0 for the lowest one)   634 meV/atom
Energy relative to the elements, uncorrected   700 meV per atom
Calculated density   8.397 Mg/m³

***

Entry 17:
# Tl2Cd2In2Hg

A relaxed Tl2Cd2In2Hg crystal (PBE-GGA, the Alexandria database).

Cell and atoms, written as POSCAR:
```
Tl2Cd2In2Hg
1.0
4.992 0.000 0.000
-2.496 8.337 -0.597
0.000 -2.723 5.281
In Cd Tl Hg
2 2 2 1
Direct
0.304 0.608 0.477 In
0.696 0.392 0.523 In
0.796 0.592 0.162 Cd
0.204 0.408 0.838 Cd
0.432 0.865 0.121 Tl
0.568 0.135 0.879 Tl
0.000 0.000 0.500 Hg
```

Output
Energy of formation   0.0714 eV per atom
Calculated density   8.346 Mg/m³

***

Entry 18:
# AcPt4Cl

A relaxed AcPt4Cl crystal (PBE-GGA, the Alexandria database).

Cell and atoms, written as POSCAR:
```
AcPt4Cl
1.0
5.519 0.000 0.000
2.759 4.779 0.000
2.759 1.593 4.506
Pt Ac Cl
4 1 1
Direct
0.625 0.625 0.124 Pt
0.625 0.124 0.625 Pt
0.625 0.625 0.625 Pt
0.124 0.625 0.625 Pt
0.250 0.250 0.250 Ac
0.000 0.000 0.000 Cl
```

Output
Energy relative to the elements, uncorrected   -699 meV per atom
Calculated density   14.570 Mg/m³

***

Entry 19:
# TaTcRh2

A relaxed TaTcRh2 crystal (PBE-GGA, the Alexandria database).

Cell and atoms, written as POSCAR:
```
TaTcRh2
1.0
9.237 -0.009 -0.005
8.817 2.755 -0.005
8.817 1.341 2.406
Ta Rh Tc
1 2 1
Direct
0.502 0.502 0.502 Ta
0.250 0.250 0.250 Rh
0.002 0.002 0.002 Rh
0.745 0.745 0.745 Tc
```

Output
Polymorph energy (0 for the lowest one)   348 meV/atom
Energy of formation   -0.0556 eV per atom
Calculated density   13.078 Mg/m³

***

Entry 20:
# Ac2MnZn3Pt4

A relaxed Ac2MnZn3Pt4 crystal (PBE-GGA, the Alexandria database).

Cell and atoms, written as POSCAR:
```
Ac2MnZn3Pt4
1.0
4.287 0.000 0.000
0.000 4.287 0.000
0.000 0.000 11.117
Ac Zn Pt Mn
2 3 4 1
Direct
0.000 0.500 0.757 Ac
0.500 0.000 0.243 Ac
0.500 0.000 0.872 Zn
0.000 0.500 0.128 Zn
0.000 0.000 0.500 Zn
0.000 0.000 0.000 Pt
0.500 0.000 0.640 Pt
0.000 0.500 0.360 Pt
0.500 0.500 0.000 Pt
0.500 0.500 0.500 Mn
```

Output
Energy of formation   -0.7225 eV per atom
Calculated density   12.073 Mg/m³

***

Entry 21:
# AgPd5Au4

A relaxed AgPd5Au4 crystal (PBE-GGA, the Alexandria database).

Cell and atoms, written as POSCAR:
```
AgPd5Au4
1.0
-3.980 -2.336 -1.170
5.077 -6.844 -3.607
0.079 -3.826 7.370
Au Pd Ag
8 10 2
Direct
0.090 0.500 0.186 Au
0.244 0.231 0.000 Au
0.910 0.000 0.314 Au
0.756 0.269 0.500 Au
0.910 0.000 0.686 Au
0.244 0.769 0.000 Au
0.756 0.731 0.500 Au
0.090 0.500 0.814 Au
0.255 0.241 0.669 Pd
0.255 0.759 0.669 Pd
0.255 0.759 0.331 Pd
0.582 0.500 0.000 Pd
0.745 0.741 0.831 Pd
0.745 0.259 0.169 Pd
0.418 0.000 0.500 Pd
0.745 0.259 0.831 Pd
0.255 0.241 0.331 Pd
0.745 0.741 0.169 Pd
0.648 0.000 0.000 Ag
0.352 0.500 0.500 Ag
```

Output
Polymorph energy (0 for the lowest one)   149 meV/atom
Energy of formation   0.0834 eV per atom
Calculated density   12.961 Mg/m³

***

| no. | final energy (eV per cell) |
| --- | --- |
| 1 | -162.214 |
| 2 | -22.003 |
| 3 | -64.905 |
| 4 | -146.792 |
| 5 | -106.594 |
| 6 | -11.743 |
| 7 | -16.151 |
| 8 | -30.071 |
| 9 | -63.143 |
| 10 | -26.168 |
| 11 | -41.147 |
| 12 | -22.312 |
| 13 | -109.837 |
| 14 | -119.701 |
| 15 | -83.711 |
| 16 | -18.578 |
| 17 | -11.842 |
| 18 | -34.310 |
| 19 | -37.144 |
| 20 | -52.596 |
| 21 | -82.181 |